1.
# WC, relaxed, DFT GGA-PBEsol
data_WC
_chemical_formula_sum 'W6 C6'
_cell_length_a 3.1223
_cell_length_b 3.1223
_cell_length_c 14.9803
_cell_angle_alpha 90.00
_cell_angle_beta 90.00
_cell_angle_gamma 120.00
_symmetry_space_group_name_H-M 'R -3 m'
_symmetry_Int_Tables_number 166
_symmetry_space_group_name_Hall '-R 3 2"'
loop_
_atom_site_label
_atom_site_type_symbol
_atom_site_fract_x
_atom_site_fract_y
_atom_site_fract_z
W1 W 0.0000 0.0000 0.0932
C1 C 0.0000 0.0000 0.3288
# ρ (g cm⁻³): 15.43
# Total energy (eV/atom): -10.35
# Total moment (Bohr magnetons per cell): 0.00

2.
# WC3, relaxed, DFT GGA-PBEsol
data_WC3
_chemical_formula_sum 'W3 C9'
_cell_length_a 2.6814
_cell_length_b 2.6814
_cell_length_c 15.5892
_cell_angle_alpha 90.00
_cell_angle_beta 90.00
_cell_angle_gamma 120.00
_symmetry_space_group_name_H-M 'R -3 m'
_symmetry_Int_Tables_number 166
_symmetry_space_group_name_Hall '-R 3 2"'
loop_
_atom_site_label
_atom_site_type_symbol
_atom_site_fract_x
_atom_site_fract_y
_atom_site_fract_z
W1 W 0.0000 0.0000 0.0000
C1 C 0.0000 0.0000 0.2313
C2 C 0.0000 0.0000 0.5000
# ρ (g cm⁻³): 11.28
# Total energy (eV/atom): -8.88
# Total moment (Bohr magnetons per cell): 0.00

3.
# W9C4, relaxed, DFT GGA-PBEsol
data_W9C4
_chemical_formula_sum 'W54 C24'
_cell_length_a 8.9607
_cell_length_b 8.9607
_cell_length_c 14.1730
_cell_angle_alpha 90.00
_cell_angle_beta 90.00
_cell_angle_gamma 120.00
_symmetry_space_group_name_H-M 'R 3 2'
_symmetry_Int_Tables_number 155
_symmetry_space_group_name_Hall 'R 3 2"'
loop_
_atom_site_label
_atom_site_type_symbol
_atom_site_fract_x
_atom_site_fract_y
_atom_site_fract_z
W1 W 0.1057 0.8923 0.2500
W2 W 0.1089 0.2214 0.9149
W3 W 0.1090 0.8878 0.5856
C1 C 0.0000 0.0000 0.0000
C2 C 0.0000 0.0000 0.5000
C3 C 0.0000 0.3347 0.0000
C4 C 0.0000 0.6675 0.5000
# ρ (g cm⁻³): 17.21
# Total energy (eV/atom): -12.58
# Total moment (Bohr magnetons per cell): 0.00

4.
# WC3, relaxed, DFT GGA-PBEsol
data_WC3
_chemical_formula_sum 'W2 C6'
_cell_length_a 4.4169
_cell_length_b 4.4169
_cell_length_c 4.2721
_cell_angle_alpha 90.00
_cell_angle_beta 90.00
_cell_angle_gamma 120.00
_symmetry_space_group_name_H-M 'P 63/m m c'
_symmetry_Int_Tables_number 194
_symmetry_space_group_name_Hall '-P 6c 2c'
loop_
_atom_site_label
_atom_site_type_symbol
_atom_site_fract_x
_atom_site_fract_y
_atom_site_fract_z
W1 W 0.3333 0.6667 0.2500
C1 C 0.2171 0.4342 0.7500
# ρ (g cm⁻³): 10.12
# Total energy (eV/atom): -9.13
# Total moment (Bohr magnetons per cell): 0.00

5.
# WC5, relaxed, DFT GGA-PBEsol
data_WC5
_chemical_formula_sum 'W1 C5'
_cell_length_a 4.5424
_cell_length_b 4.5424
_cell_length_c 2.4743
_cell_angle_alpha 90.00
_cell_angle_beta 90.00
_cell_angle_gamma 120.00
_symmetry_space_group_name_H-M 'P 6/m m m'
_symmetry_Int_Tables_number 191
_symmetry_space_group_name_Hall '-P 6 2'
loop_
_atom_site_label
_atom_site_type_symbol
_atom_site_fract_x
_atom_site_fract_y
_atom_site_fract_z
W1 W 0.0000 0.0000 0.0000
C1 C 0.0000 0.5000 0.5000
C2 C 0.3333 0.6667 0.0000
# ρ (g cm⁻³): 9.16
# Total energy (eV/atom): -7.45
# Total moment (Bohr magnetons per cell): 0.00

6.
# WC, relaxed, DFT GGA-PBEsol
data_WC
_chemical_formula_sum 'W1 C1'
_cell_length_a 2.9021
_cell_length_b 2.9021
_cell_length_c 2.8299
_cell_angle_alpha 90.00
_cell_angle_beta 90.00
_cell_angle_gamma 120.00
_symmetry_space_group_name_H-M 'P -6 m 2'
_symmetry_Int_Tables_number 187
_symmetry_space_group_name_Hall 'P -6 2'
loop_
_atom_site_label
_atom_site_type_symbol
_atom_site_fract_x
_atom_site_fract_y
_atom_site_fract_z
W1 W 0.0000 0.0000 0.0000
C1 C 0.3333 0.6667 0.5000
# ρ (g cm⁻³): 15.76
# Total energy (eV/atom): -11.95
# Total moment (Bohr magnetons per cell): 0.00

7.
# WC, relaxed, DFT GGA-PBEsol
data_WC
_chemical_formula_sum 'W3 C3'
_cell_length_a 5.2880
_cell_length_b 5.2880
_cell_length_c 2.8649
_cell_angle_alpha 90.00
_cell_angle_beta 90.00
_cell_angle_gamma 120.00
_symmetry_space_group_name_H-M 'P -6 2 m'
_symmetry_Int_Tables_number 189
_symmetry_space_group_name_Hall 'P -6 -2'
loop_
_atom_site_label
_atom_site_type_symbol
_atom_site_fract_x
_atom_site_fract_y
_atom_site_fract_z
W1 W 0.0000 0.6270 0.0000
C1 C 0.0000 0.0000 0.0000
C2 C 0.3333 0.6667 0.5000
# ρ (g cm⁻³): 14.06
# Total energy (eV/atom): -11.28
# Total moment (Bohr magnetons per cell): 0.11

8.
# WC, relaxed, DFT GGA-PBEsol
data_WC
_chemical_formula_sum 'W2 C2'
_cell_length_a 2.8912
_cell_length_b 3.9506
_cell_length_c 3.8946
_cell_angle_alpha 90.00
_cell_angle_beta 107.46
_cell_angle_gamma 90.00
_symmetry_space_group_name_H-M 'P 1 21/m 1'
_symmetry_Int_Tables_number 11
_symmetry_space_group_name_Hall '-P 2yb'
loop_
_atom_site_label
_atom_site_type_symbol
_atom_site_fract_x
_atom_site_fract_y
_atom_site_fract_z
W1 W 0.1924 0.2500 0.2630
C1 C 0.4616 0.7500 0.1707
# ρ (g cm⁻³): 15.33
# Total energy (eV/atom): -11.32
# Total moment (Bohr magnetons per cell): 0.00

9.
# YWC2, relaxed, DFT GGA-PBEsol
data_YWC2
_chemical_formula_sum 'Y4 W4 C8'
_cell_length_a 5.6747
_cell_length_b 3.3517
_cell_length_c 10.7036
_cell_angle_alpha 90.00
_cell_angle_beta 90.00
_cell_angle_gamma 90.00
_symmetry_space_group_name_H-M 'P n m a'
_symmetry_Int_Tables_number 62
_symmetry_space_group_name_Hall '-P 2ac 2n'
loop_
_atom_site_label
_atom_site_type_symbol
_atom_site_fract_x
_atom_site_fract_y
_atom_site_fract_z
Y1 Y 0.0854 0.2500 0.1374
W1 W 0.0957 0.7500 0.3903
C1 C 0.1605 0.2500 0.7524
C2 C 0.2239 0.2500 0.4847
# ρ (g cm⁻³): 9.68
# Total energy (eV/atom): -10.33
# Total moment (Bohr magnetons per cell): 0.00

10.
# YWC3, relaxed, DFT GGA-PBEsol
data_YWC3
_chemical_formula_sum 'Y1 W1 C3'
_cell_length_a 4.0456
_cell_length_b 4.0456
_cell_length_c 4.0456
_cell_angle_alpha 90.00
_cell_angle_beta 90.00
_cell_angle_gamma 90.00
_symmetry_space_group_name_H-M 'P m -3 m'
_symmetry_Int_Tables_number 221
_symmetry_space_group_name_Hall '-P 4 2 3'
loop_
_atom_site_label
_atom_site_type_symbol
_atom_site_fract_x
_atom_site_fract_y
_atom_site_fract_z
Y1 Y 0.0000 0.0000 0.0000
W1 W 0.5000 0.5000 0.5000
C1 C 0.0000 0.5000 0.5000
# ρ (g cm⁻³): 7.74
# Total energy (eV/atom): -9.22
# Total moment (Bohr magnetons per cell): 0.00

11.
# ZnW3C, relaxed, DFT GGA-PBEsol
data_ZnW3C
_chemical_formula_sum 'Zn1 W3 C1'
_cell_length_a 4.4768
_cell_length_b 4.4768
_cell_length_c 4.4768
_cell_angle_alpha 90.00
_cell_angle_beta 90.00
_cell_angle_gamma 90.00
_symmetry_space_group_name_H-M 'P m -3 m'
_symmetry_Int_Tables_number 221
_symmetry_space_group_name_Hall '-P 4 2 3'
loop_
_atom_site_label
_atom_site_type_symbol
_atom_site_fract_x
_atom_site_fract_y
_atom_site_fract_z
Zn1 Zn 0.0000 0.0000 0.0000
W1 W 0.0000 0.0000 0.5000
C1 C 0.5000 0.5000 0.5000
# ρ (g cm⁻³): 11.64
# Total energy (eV/atom): -7.08
# Total moment (Bohr magnetons per cell): 0.00

12.
# ZrWC2, relaxed, DFT GGA-PBEsol
data_ZrWC2
_chemical_formula_sum 'Zr4 W4 C8'
_cell_length_a 4.8446
_cell_length_b 4.8446
_cell_length_c 9.6966
_cell_angle_alpha 90.00
_cell_angle_beta 90.00
_cell_angle_gamma 90.00
_symmetry_space_group_name_H-M 'I -4 2 d'
_symmetry_Int_Tables_number 122
_symmetry_space_group_name_Hall 'I -4 2bw'
loop_
_atom_site_label
_atom_site_type_symbol
_atom_site_fract_x
_atom_site_fract_y
_atom_site_fract_z
Zr1 Zr 0.0000 0.0000 0.0000
W1 W 0.0000 0.0000 0.5000
C1 C 0.2149 0.2500 0.6250
# ρ (g cm⁻³): 8.73
# Total energy (eV/atom): -10.47
# Total moment (Bohr magnetons per cell): 0.00

Question: The lowest ρ belongs to which entry?
Answer: YWC3

Question: Number 7 is which compound?
Answer: WC

Question: What is the ρ in the fourth record?
Answer: 10.12 g cm⁻³